# 1
Density functional theory data (PBE) for a relaxed structure of CsHfTeAuS2.

Cell: 8.724 8.724 10.652 Å, 90.00 90.00 154.31°
Atoms (fractional coordinates):
Cs1 0.223 0.777 0.750
Cs2 0.777 0.223 0.250
Hf1 0.000 0.000 0.000
Hf2 0.000 0.000 0.500
Te1 0.083 0.917 0.250
Te2 0.917 0.083 0.750
Au1 0.465 0.535 0.250
Au2 0.535 0.465 0.750
S1 0.401 0.599 0.044
S2 0.401 0.599 0.456
S3 0.599 0.401 0.544
S4 0.599 0.401 0.956

Computed properties:
The density comes out at 6.62 Mg/m³. Its final energy is -62.5 eV per cell. As for the total moment: 0.02 Bohr magnetons per cell.

# 2
Density functional theory data (PBE) for a relaxed structure of CsHfTe2AuS.

Cell: 9.379 9.379 10.124 Å, 90.00 90.00 154.21°
Atoms (fractional coordinates):
Cs1 0.233 0.767 0.750
Cs2 0.767 0.233 0.250
Hf1 0.000 0.000 0.000
Hf2 0.000 0.000 0.500
Te1 0.385 0.615 0.008
Te2 0.385 0.615 0.492
Te3 0.615 0.385 0.508
Te4 0.615 0.385 0.992
Au1 0.448 0.552 0.250
Au2 0.552 0.448 0.750
S1 0.031 0.969 0.250
S2 0.969 0.031 0.750

Computed properties:
The density comes out at 6.82 Mg/m³. Its final energy is -58.8 eV per cell. As for the total moment: 0.00 Bohr magnetons per cell.

# 3
Density functional theory data (PBE) for a relaxed structure of CsHfAu3Se4.

Cell: 6.549 6.549 6.549 Å, 90.00 90.00 90.00°
Atoms (fractional coordinates):
Cs1 0.000 0.000 0.000
Hf1 0.500 0.500 0.500
Au1 0.000 0.500 0.500
Au2 0.500 0.000 0.500
Au3 0.500 0.500 0.000
Se1 0.279 0.279 0.279
Se2 0.279 0.721 0.721
Se3 0.721 0.279 0.721
Se4 0.721 0.721 0.279

Computed properties:
The density comes out at 7.20 Mg/m³. Its final energy is -39.9 eV per cell. As for the total moment: 0.01 Bohr magnetons per cell.